! PBE Ac2PrPt, relaxed; values from VASP
! polymorph energy (0 for the lowest one): 0.098 eV/atom
! formation enthalpy at 0 K: -194.2 kJ/mol of formula units
! crystal system: trigonal
! raw total energy: -5.2624 eV/atom
! space group: R3m (160)
! size of the total moment: 0.0 μB per formula unit
&SYSTEM
  ibrav = 0, nat = 4, ntyp = 3
/
ATOMIC_SPECIES
Ac 227.00 Ac.upf
Pr 140.91 Pr.upf
Pt 195.08 Pt.upf
CELL_PARAMETERS angstrom
-2.9770 -2.8146 1.0166
-1.8451 -2.3037 -3.0177
5.2867 -8.6155 0.3924
ATOMIC_POSITIONS angstrom
Ac 4.0198 -7.3457 0.1977
Ac -0.3418 -2.9745 -0.4725
Pr 0.2311 -6.8656 -0.8045
Pt -3.2121 -3.4148 -1.3336

=====

! PBE LiNiSb2, relaxed; values from VASP
! polymorph energy (0 for the lowest one): 0.220 eV/atom
! crystal system: tetragonal
! raw total energy: -4.0416 eV/atom
! formation energy (no corrections): -57 meV per atom
! space group: I-4m2 (119)
! size of the total moment: 0.0 μB per formula unit
&SYSTEM
  ibrav = 0, nat = 4, ntyp = 3
/
ATOMIC_SPECIES
Ni 58.69 Ni.upf
Li 6.94 Li.upf
Sb 121.76 Sb.upf
CELL_PARAMETERS angstrom
-5.3877 1.4538 0.2730
-3.4866 -2.8408 3.3150
5.0156 2.4416 0.3125
ATOMIC_POSITIONS angstrom
Ni -2.4046 1.6010 1.1898
Li -4.4371 -0.6935 1.7940
Sb 0.0000 0.0000 0.0000
Sb -1.4541 -0.5463 2.7107

=====

! PBE AcPm2Lu, relaxed; values from VASP
! polymorph energy (0 for the lowest one): 0.012 eV/atom
! formation enthalpy at 0 K: 20.7 kJ/mol of formula units
! crystal system: tetragonal
! raw total energy: -4.4790 eV/atom
! space group: P4/mmm (123)
! size of the total moment: 0.0 μB per formula unit
&SYSTEM
  ibrav = 0, nat = 4, ntyp = 3
/
ATOMIC_SPECIES
Pm 145.00 Pm.upf
Ac 227.00 Ac.upf
Lu 174.97 Lu.upf
CELL_PARAMETERS angstrom
-0.5673 1.3832 -3.4006
-3.5724 -1.0007 0.1889
-2.3495 9.1655 4.1200
ATOMIC_POSITIONS angstrom
Pm -0.5487 2.1404 0.9621
Pm -1.8008 7.0251 3.1578
Ac -3.2446 4.7740 0.4542
Lu -2.0698 0.1913 -1.6058

=====

! PBE Na3Sc3TiSe8, relaxed; values from VASP
! crystal system: monoclinic
! raw total energy: -5.3889 eV/atom
! formation energy (no corrections): -1474 meV per atom
! space group: C2/m (12)
! size of the total moment: 0.0 μB per formula unit
&SYSTEM
  ibrav = 0, nat = 15, ntyp = 4
/
ATOMIC_SPECIES
Sc 44.96 Sc.upf
Se 78.96 Se.upf
Na 22.99 Na.upf
Ti 47.87 Ti.upf
CELL_PARAMETERS angstrom
7.7239 0.0000 0.0000
-3.8620 6.6859 -0.0266
0.0000 -4.4330 7.1057
ATOMIC_POSITIONS angstrom
Sc 3.8620 -2.2165 3.5528
Se 3.8620 0.0178 5.0962
Na 1.9310 3.3429 -0.0133
Ti 0.0000 -2.2165 3.5528
Se 5.8615 -1.1471 2.0547
Se 1.9995 3.3999 5.0244
Se 0.0000 -0.0614 5.0382
Se 1.8624 -1.1471 2.0547
Se 0.0000 2.2351 1.9829
Na 0.0000 0.0000 0.0000
Na -1.9310 3.3429 -0.0133
Se -1.9995 3.3999 5.0244
Sc 1.9310 1.1264 3.5395
Sc -1.9310 1.1264 3.5395
Se 3.8620 2.3143 2.0409

=====

! PBE Ba2AgH6Pt, relaxed; values from VASP
! crystal system: monoclinic
! raw total energy: -3.7077 eV/atom
! space group: C2/m (12)
! size of the total moment: 0.0 μB per formula unit
&SYSTEM
  ibrav = 0, nat = 10, ntyp = 4
/
ATOMIC_SPECIES
H 1.01 H.upf
Ba 137.33 Ba.upf
Ag 107.87 Ag.upf
Pt 195.08 Pt.upf
CELL_PARAMETERS angstrom
-4.7357 -3.0213 -1.0015
3.0163 -3.6845 -3.1438
1.6297 0.9748 5.5953
ATOMIC_POSITIONS angstrom
H 0.4435 -1.3834 2.0254
H -1.4508 -2.1895 4.1348
H -0.5307 -4.3494 -0.5811
Ba 1.8936 -3.0326 0.1874
H 2.9937 -2.5698 2.9065
Ba -1.9805 -2.7012 1.2581
Ag 0.7713 -2.3792 3.5199
H 1.2625 -0.4497 4.7000
Pt -3.1045 -2.0482 4.5921
H -1.3493 -5.2843 -3.2539

=====

! PBE CeDy3Ho6Sc2, relaxed; values from VASP
! formation enthalpy at 0 K: 60.2 kJ/mol of formula units
! crystal system: monoclinic
! raw total energy: -4.9371 eV/atom
! space group: C2/m (12)
! size of the total moment: 1.1 μB per formula unit
&SYSTEM
  ibrav = 0, nat = 12, ntyp = 4
/
ATOMIC_SPECIES
Ho 164.93 Ho.upf
Dy 162.50 Dy.upf
Sc 44.96 Sc.upf
Ce 140.12 Ce.upf
CELL_PARAMETERS angstrom
6.0336 0.0004 0.0146
-3.0150 5.2263 0.0146
-1.0324 -1.7876 11.3874
ATOMIC_POSITIONS angstrom
Ho -0.0200 3.4471 8.6166
Ho 2.9957 1.7054 8.6166
Ho 2.0066 3.4744 2.8166
Dy 0.9931 1.7196 5.7083
Dy 3.9997 -0.0169 5.7083
Sc 0.0017 3.4840 0.0146
Ce 0.0000 0.0000 0.0000
Ho -0.0204 -0.0353 8.6000
Sc 3.0169 1.7427 0.0146
Ho 2.0062 -0.0080 2.8000
Dy -2.0135 3.4560 5.7083
Ho -1.0095 1.7337 2.8000

=====

! PBE RbTiSnF6, relaxed; values from VASP
! crystal system: orthorhombic
! raw total energy: -5.5429 eV/atom
! formation energy (no corrections): -2866 meV per atom
! space group: Imma (74)
! size of the total moment: 1.0 μB per formula unit
&SYSTEM
  ibrav = 0, nat = 18, ntyp = 4
/
ATOMIC_SPECIES
Sn 118.71 Sn.upf
F 19.00 F.upf
Ti 47.87 Ti.upf
Rb 85.47 Rb.upf
CELL_PARAMETERS angstrom
7.7932 0.0000 0.0000
0.0000 7.8214 0.0000
-3.8966 -3.9107 5.3578
ATOMIC_POSITIONS angstrom
Sn 1.9483 -1.9554 2.6789
F 2.5141 0.1463 1.3966
F 5.2791 3.7645 1.3966
F 2.5141 3.7645 1.3966
Ti 3.8966 0.0000 0.0000
F 1.3825 3.7645 3.9611
F -1.3825 0.1463 3.9611
F 1.3825 0.1463 3.9611
F 3.8966 5.8661 0.3419
F 0.0000 5.8661 1.3756
F 5.2791 0.1463 1.3966
F 0.0000 -1.9554 5.0159
Rb 3.8966 1.9554 3.7564
Sn -1.9483 -1.9554 2.6789
F 3.8966 -1.9554 3.9822
F -1.3825 3.7645 3.9611
Ti 3.8966 3.9107 0.0000
Rb 0.0000 1.9554 1.6014

=====

! PBE CrHgAu, relaxed; values from VASP
! polymorph energy (0 for the lowest one): 0.150 eV/atom
! formation enthalpy at 0 K: 108.5 kJ/mol of formula units
! crystal system: cubic
! raw total energy: -4.0259 eV/atom
! space group: F-43m (216)
! size of the total moment: 4.3 μB per formula unit
&SYSTEM
  ibrav = 0, nat = 3, ntyp = 3
/
ATOMIC_SPECIES
Cr 52.00 Cr.upf
Au 196.97 Au.upf
Hg 200.59 Hg.upf
CELL_PARAMETERS angstrom
4.5338 0.0000 0.0000
2.2669 3.9264 0.0000
2.2669 1.3088 3.7019
ATOMIC_POSITIONS angstrom
Cr 6.8007 3.9264 2.7764
Au 4.5338 2.6176 1.8509
Hg 0.0000 0.0000 0.0000

=====

! PBE KMgCrCl6, relaxed; values from VASP
! crystal system: trigonal
! raw total energy: -4.1696 eV/atom
! formation energy (no corrections): -1570 meV per atom
! space group: P-31c (163)
! size of the total moment: 3.0 μB per formula unit
&SYSTEM
  ibrav = 0, nat = 18, ntyp = 4
/
ATOMIC_SPECIES
Mg 24.30 Mg.upf
Cl 35.45 Cl.upf
Cr 52.00 Cr.upf
K 39.10 K.upf
CELL_PARAMETERS angstrom
6.3765 0.0000 0.0000
-3.1882 5.5222 0.0000
0.0000 0.0000 14.0434
ATOMIC_POSITIONS angstrom
Mg 0.0000 3.6815 10.5325
Cl 0.8313 5.4267 4.8847
Cr 0.0000 3.6815 3.5108
Mg 3.1883 1.8407 3.5108
K 0.0000 0.0000 7.0217
K 0.0000 0.0000 0.0000
Cl 1.9270 3.5288 2.1370
Cl 4.0195 0.0955 11.9064
Cl -1.9270 3.5288 4.8847
Cr 3.1883 1.8407 10.5325
Cl 1.0957 2.0889 4.8847
Cl 4.2840 3.4333 11.9064
Cl -1.0957 2.0889 2.1370
Cl 1.2612 1.9934 11.9064
Cl -0.8313 5.4267 2.1370
Cl 2.0925 3.4333 9.1586
Cl 5.1153 1.9934 9.1586
Cl 2.3569 0.0955 9.1586

=====

! PBE SrLi10Hg3, relaxed; values from VASP
! formation enthalpy at 0 K: -186.8 kJ/mol of formula units
! crystal system: cubic
! raw total energy: -1.6901 eV/atom
! space group: Fm-3m (225)
! size of the total moment: 0.0 μB per formula unit
&SYSTEM
  ibrav = 0, nat = 28, ntyp = 3
/
ATOMIC_SPECIES
Li 6.94 Li.upf
Hg 200.59 Hg.upf
Sr 87.62 Sr.upf
CELL_PARAMETERS angstrom
-1.7219 8.0905 5.2217
2.3239 0.2782 9.4978
7.4669 5.5354 3.0482
ATOMIC_POSITIONS angstrom
Li 1.6590 6.0544 9.4914
Li -0.5933 2.7877 1.7992
Hg 5.6366 6.2908 6.1600
Li -0.3278 5.3986 6.6951
Li 3.9008 8.3460 6.6800
Li 2.4046 8.9635 9.2237
Li 4.1682 5.5581 11.0877
Li 0.9299 2.9701 8.0244
Li 1.5232 0.1823 6.2252
Li 5.6948 3.7239 5.2705
Hg 3.2361 3.8369 9.1704
Hg 6.7213 6.4206 10.5932
Li 4.3007 6.4158 3.7971
Li 4.8940 3.6281 1.9979
Sr 2.0172 3.4760 4.4419
Li 0.8008 0.0958 3.2727
Li 4.9138 8.4672 10.8201
Li 5.6644 4.9406 8.5439
Li 6.4100 7.8497 8.2763
Sr 6.0517 10.4281 13.3257
Li 4.0961 2.0897 7.2755
Hg 4.8329 10.0671 8.5972
Li -1.1286 5.3028 3.4224
Li 1.4443 7.2101 4.4727
Hg 2.4324 7.6133 11.6077
Li 3.1552 5.4368 6.9476
Li 2.5729 1.9073 1.0503
Hg 1.3476 7.4834 7.1745

=====

| no. | volume (Å³/atom) |
| --- | --- |
| 1 | 37.9 |
| 2 | 18.9 |
| 3 | 35.6 |
| 4 | 24.4 |
| 5 | 14.1 |
| 6 | 30.0 |
| 7 | 18.1 |
| 8 | 22.0 |
| 9 | 27.5 |
| 10 | 23.6 |